[1]
A plane-wave DFT calculation with GGA-PBE was carried out for a geometry-optimized Cd3MoW structure.

As for the space-group type: Pm-3m, No. 221. For the excess energy over the best structure of this formula in the dataset, the calculation gives 0.00 kJ per mole of atoms.

POSCAR file:
```
Cd3MoW
1.0
5.2748 0.0000 0.0000
0.0000 5.2748 0.0000
0.0000 0.0000 5.2748
Cd Mo W
3 1 1
direct
0.0000 0.0000 0.5000 Cd
0.0000 0.5000 0.0000 Cd
0.5000 0.0000 0.0000 Cd
0.5000 0.5000 0.5000 Mo
0.0000 0.0000 0.0000 W
```

---

[2]
A plane-wave DFT calculation with GGA-PBE was carried out for a geometry-optimized CdMoW3 structure.

As for the space-group type: Pm-3m, No. 221. For the excess energy over the best structure of this formula in the dataset, the calculation gives 0.00 kJ per mole of atoms.

POSCAR file:
```
CdMoW3
1.0
4.7665 0.0000 0.0000
0.0000 4.7665 0.0000
0.0000 0.0000 4.7665
Cd Mo W
1 1 3
direct
0.0000 0.0000 0.0000 Cd
0.5000 0.5000 0.5000 Mo
0.0000 0.5000 0.5000 W
0.5000 0.0000 0.5000 W
0.5000 0.5000 0.0000 W
```

---

Question: Which formula does entry 1 have?
Answer: Cd3MoW